No. 1
ScHgBr2 | PBE-GGA | relaxed

Summary:
offset from the most stable computed form	2.620	eV/f.u.
ΔE_f (raw)	-0.468	eV/atom
electronic total energy	-2.96	eV/atom

Unit cell a=5.0885 b=5.0885 c=4.0177 alpha=90.00 beta=90.00 gamma=90.00
Closest atoms and distances in Å follow each position.
Space group P4/mmm (No. 123)
Symmetry-distinct sites (fractional):
Sc1 0.0000 0.0000 0.0000 [1 per cell]  8 Br 3.24, 4 Hg 3.60
Hg1 0.5000 0.5000 0.0000 [1 per cell]  8 Br 3.24, 4 Sc 3.60
Br1 0.0000 0.5000 0.5000 [2 per cell]  4 Hg 3.24, 4 Sc 3.24, 4 Br 3.60


No. 2
ScHgBr2 | PBE-GGA | relaxed

Summary:
offset from the most stable computed form	2.707	eV/f.u.
ΔE_f (raw)	-0.446	eV/atom
electronic total energy	-2.94	eV/atom

Unit cell a=6.9584 b=9.1715 c=3.6503 alpha=90.00 beta=114.86 gamma=90.00
Closest atoms and distances in Å follow each position.
Space group C2/m (No. 12)
Symmetry-distinct sites (fractional):
Sc1 0.0000 0.0000 0.0000 [2 per cell]  4 Br 2.99
Hg1 0.0000 0.5000 0.0000 [2 per cell]  4 Br 2.99
Br1 0.2500 0.2500 0.5000 [4 per cell]  2 Hg 2.99, 2 Sc 2.99


No. 3
ScHg4Br | PBE-GGA | relaxed

Summary:
ΔE_f (raw)	0.027	eV/atom
electronic total energy	-1.51	eV/atom

Unit cell a=8.5968 b=8.5968 c=8.5968 alpha=90.00 beta=90.00 gamma=90.00
Closest atoms and distances in Å follow each position.
Space group F-43m (No. 216)
Symmetry-distinct sites (fractional):
Sc1 0.0000 0.0000 0.0000 [4 per cell]  12 Hg 3.56, 4 Br 3.72
Hg1 0.1253 0.1253 0.3747 [16 per cell]  6 Hg 3.03-3.05
Br1 0.2500 0.2500 0.7500 [4 per cell]  12 Hg 3.56, 4 Sc 3.72


No. 4
ScHgBr2 | PBE-GGA | relaxed

Summary:
offset from the most stable computed form	0.686	eV/f.u.
ΔE_f (raw)	-0.951	eV/atom
electronic total energy	-3.45	eV/atom

Unit cell a=9.4551 b=9.4551 c=6.0586 alpha=90.00 beta=90.00 gamma=90.00
Closest atoms and distances in Å follow each position.
Space group I-42d (No. 122)
Symmetry-distinct sites (fractional):
Sc1 0.0000 0.0000 0.0000 [4 per cell]  4 Br 2.69
Hg1 0.0000 0.0000 0.5000 [4 per cell]  2 Sc 3.03
Br1 0.1107 0.2500 0.1250 [8 per cell]  2 Sc 2.69


No. 5
ScHgBr3 | PBE-GGA | relaxed

Summary:
offset from the most stable computed form	1.013	eV/f.u.
ΔE_f (raw)	-1.148	eV/atom
electronic total energy	-3.48	eV/atom

Unit cell a=7.8498 b=7.8498 c=17.1642 alpha=90.00 beta=90.00 gamma=120.00
Closest atoms and distances in Å follow each position.
Space group R3c (No. 161, hexagonal axes)
Symmetry-distinct sites (fractional):
Sc1 0.0000 0.0000 0.0000 [6 per cell]  3 Br 2.57
Hg1 0.0000 0.0000 0.3114 [6 per cell]  1 Sc 3.24, 3 Br 3.54
Br1 0.0299 0.4990 0.2928 [18 per cell]  1 Sc 2.57


No. 6
ScHgBr2 | PBE-GGA | relaxed

Summary:
offset from the most stable computed form	2.173	eV/f.u.
ΔE_f (raw)	-0.579	eV/atom
electronic total energy	-3.07	eV/atom

Unit cell a=3.9822 b=3.9822 c=35.5427 alpha=90.00 beta=90.00 gamma=120.00
Closest atoms and distances in Å follow each position.
Space group R-3m (No. 166, hexagonal axes)
Symmetry-distinct sites (fractional):
Sc1 0.0000 0.0000 0.0000 [3 per cell]  2 Br 2.42
Hg1 0.0000 0.0000 0.5000 [3 per cell]  6 Hg 3.98, 6 Br 4.19
Br1 0.0000 0.0000 0.0682 [6 per cell]  1 Sc 2.42